1.
Compound: ZrFePb2
Source: the Alexandria database
Functional: PBE-GGA
Structure: relaxed

```
4
Lattice="5.774 -0.035 -0.035 2.274 5.307 0.035 -3.262 -3.799 2.875" Properties=species:S:1:pos:R:3 pbc="T T T"
Pb 0.216 0.141 0.000
Pb 3.808 2.495 0.000
Fe 1.518 2.072 1.455
Zr 3.268 -0.599 1.420
```

The density of states at the Fermi level is 0.81 states/eV per atom. For the polymorph energy (0 for the lowest one), the calculation gives 197.9 meV/atom. The volume is 89 Å³/cell. Its formation energy is 309 meV/atom. Its density is 10.5 g/cm³. Its space-group type is No. 71.



2.
Compound: Na2HoPaSe4
Source: the Alexandria database
Functional: PBE-GGA
Structure: relaxed

```
8
Lattice="-1.397 3.173 2.139 -6.399 -3.180 0.537 4.151 -2.117 5.851" Properties=species:S:1:pos:R:3 pbc="T T T"
Se -2.357 -2.450 5.972
Se -3.814 -2.884 1.786
Se 1.566 -2.413 4.602
Se -1.289 0.325 2.554
Na -1.124 -2.649 3.194
Na 1.377 0.528 3.995
Ho 0.000 0.000 0.000
Pa -3.898 -0.004 1.338
```

The density of states at the Fermi level is 0.83 states/eV per atom. The volume is 207 Å³/cell. Its formation energy without anion corrections is -1.462 eV/atom. Its density is 6.1 g/cm³. Its space-group type is No. 10.



Number 1: total DFT energy (no corrections) -5.798 eV/atom, M_tot 2.4 Bohr magnetons per cell. Number 2: total DFT energy (no corrections) -5.293 eV/atom, M_tot 1.9 Bohr magnetons per cell.